1.
A relaxed structure of PmTh4As6. Source: Alexandria, functional PBE.

Cell lengths 8.3314, 8.3314, 8.3314 Å; angles 90.25, 90.25, 89.75 degrees
With the nearest neighbours (Å) after each atom.
Fractional positions:
Pm1 0.5000 0.5000 0.5000  6 As 2.86
Pm2 0.0000 0.0000 0.0000  6 As 2.86
Th1 0.3650 0.1350 0.2500  8 As 2.98-3.25
Th2 0.8650 0.2500 0.3650  8 As 2.98-3.25
Th3 0.2500 0.6350 0.1350  8 As 2.98-3.25
Th4 0.2500 0.2500 0.7500  6 As 3.03
Th5 0.7500 0.7500 0.2500  6 As 3.03
Th6 0.7500 0.3650 0.8650  8 As 2.98-3.25
Th7 0.1350 0.7500 0.6350  8 As 2.98-3.25
Th8 0.6350 0.8650 0.7500  8 As 2.98-3.25
As1 0.6736 0.0641 0.0847  1 Pm 2.86, 3 Th 2.98-3.18
As2 0.0847 0.3264 0.0641  1 Pm 2.86, 3 Th 2.98-3.18
As3 0.5847 0.4359 0.1736  1 Pm 2.86, 3 Th 2.98-3.18
As4 0.9359 0.0847 0.6736  1 Pm 2.86, 3 Th 2.98-3.18
As5 0.5641 0.1736 0.5847  1 Pm 2.86, 3 Th 2.98-3.18
As6 0.1736 0.4153 0.4359  1 Pm 2.86, 3 Th 2.98-3.18
As7 0.8264 0.5847 0.5641  1 Pm 2.86, 3 Th 2.98-3.18
As8 0.4359 0.8264 0.4153  1 Pm 2.86, 3 Th 2.98-3.18
As9 0.0641 0.9153 0.3264  1 Pm 2.86, 3 Th 2.98-3.18
As10 0.4153 0.5641 0.8264  1 Pm 2.86, 3 Th 2.98-3.18
As11 0.9153 0.6736 0.9359  1 Pm 2.86, 3 Th 2.98-3.18
As12 0.3264 0.9359 0.9153  1 Pm 2.86, 3 Th 2.98-3.18

Values from the calculation:
SG: R-3c
magnetic moment: 0.00 μB per cell
crystal system: trigonal
calculated formation energy: -114 kJ per mole of atoms
electronic total energy: -6.843 eV per atom

=====

2.
A relaxed structure of PmTm2ThAs4. Source: Alexandria, functional PBE.

Cell lengths 4.1647, 7.1731, 7.2056 Å; angles 70.49, 90.00, 90.00 degrees
With the nearest neighbours (Å) after each atom.
Fractional positions:
Pm1 0.5000 0.5000 0.0000  6 As 2.98
Tm1 0.0000 0.0000 0.0000  6 As 2.90
Tm2 0.5000 0.0000 0.5000  6 As 2.89-2.90
Th1 0.0000 0.5000 0.5000  6 As 2.97-2.98
As1 0.0000 0.7607 0.7457  3 Tm 2.90, 1 Th 2.97, 2 Pm 2.98
As2 0.0000 0.2393 0.2543  3 Tm 2.90, 1 Th 2.97, 2 Pm 2.98
As3 0.5000 0.7613 0.2463  3 Tm 2.89-2.90, 1 Pm 2.98, 2 Th 2.98
As4 0.5000 0.2387 0.7537  3 Tm 2.89-2.90, 1 Pm 2.98, 2 Th 2.98

Values from the calculation:
SG: P2/m
magnetic moment: 0.00 μB per cell
crystal system: monoclinic
calculated formation energy: -144 kJ per mole of atoms
electronic total energy: -6.459 eV per atom

=====

3.
A relaxed structure of Pm2TmTh3As6. Source: Alexandria, functional PBE.

Cell lengths 4.2264, 8.4147, 9.4276 Å; angles 102.66, 102.95, 90.00 degrees
With the nearest neighbours (Å) after each atom.
Fractional positions:
Pm1 0.8336 0.6668 0.6672  6 As 2.98-2.99
Pm2 0.1664 0.3332 0.3328  6 As 2.98-2.99
Tm1 0.5000 0.0000 0.0000  6 As 2.93-2.94
Th1 0.5000 0.5000 0.0000  6 As 2.98-3.03
Th2 0.8325 0.1662 0.6651  6 As 2.98-3.03
Th3 0.1675 0.8338 0.3349  6 As 2.98-3.03
As1 0.3365 0.9186 0.6731  1 Tm 2.93, 3 Th 2.98-3.03, 2 Pm 2.98
As2 0.6663 0.5836 0.3327  3 Th 2.98, 3 Pm 2.98-2.99
As3 0.6635 0.0814 0.3269  1 Tm 2.93, 3 Th 2.98-3.03, 2 Pm 2.98
As4 0.9994 0.2421 0.9989  2 Tm 2.94, 3 Th 2.99-3.03, 1 Pm 2.99
As5 0.0006 0.7579 0.0011  2 Tm 2.94, 3 Th 2.99-3.03, 1 Pm 2.99
As6 0.3337 0.4164 0.6673  3 Th 2.98, 3 Pm 2.98-2.99

Values from the calculation:
SG: C2/m
magnetic moment: 0.00 μB per cell
crystal system: monoclinic
calculated formation energy: -141 kJ per mole of atoms
electronic total energy: -6.808 eV per atom

=====

What is the magnetic moment in the second record? 0.00 μB per cell

=====

Please write out number 2 again, unchanged.
A relaxed structure of PmTm2ThAs4. Source: Alexandria, functional PBE.

Cell lengths 4.1647, 7.1731, 7.2056 Å; angles 70.49, 90.00, 90.00 degrees
With the nearest neighbours (Å) after each atom.
Fractional positions:
Pm1 0.5000 0.5000 0.0000  6 As 2.98
Tm1 0.0000 0.0000 0.0000  6 As 2.90
Tm2 0.5000 0.0000 0.5000  6 As 2.89-2.90
Th1 0.0000 0.5000 0.5000  6 As 2.97-2.98
As1 0.0000 0.7607 0.7457  3 Tm 2.90, 1 Th 2.97, 2 Pm 2.98
As2 0.0000 0.2393 0.2543  3 Tm 2.90, 1 Th 2.97, 2 Pm 2.98
As3 0.5000 0.7613 0.2463  3 Tm 2.89-2.90, 1 Pm 2.98, 2 Th 2.98
As4 0.5000 0.2387 0.7537  3 Tm 2.89-2.90, 1 Pm 2.98, 2 Th 2.98

Values from the calculation:
SG: P2/m
magnetic moment: 0.00 μB per cell
crystal system: monoclinic
calculated formation energy: -144 kJ per mole of atoms
electronic total energy: -6.459 eV per atom